Crystalline PuMnNi2 at its relaxed geometry. Source: Alexandria, functional PBE-GGA.

```
data_PuMnNi2
_chemical_formula_sum 'Pu1 Mn1 Ni2'
_cell_length_a 2.966
_cell_length_b 2.966
_cell_length_c 6.808
_cell_angle_alpha 90.00
_cell_angle_beta 90.00
_cell_angle_gamma 90.00
_symmetry_space_group_name_H-M 'P 4/m m m'
_symmetry_Int_Tables_number 123
_symmetry_space_group_name_Hall '-P 4 2'
loop_
_atom_site_label
_atom_site_fract_x
_atom_site_fract_y
_atom_site_fract_z
Pu1 0.000 0.000 0.000
Mn1 0.000 0.000 0.500
Ni1 0.500 0.500 0.301
```

Values from the calculation:
E_form = 0.0089 eV per atom

Crystalline PuMnNiRu at its relaxed geometry. Source: Alexandria, functional PBE-GGA.

```
data_PuMnNiRu
_chemical_formula_sum 'Pu4 Mn4 Ni4 Ru4'
_cell_length_a 6.379
_cell_length_b 6.379
_cell_length_c 6.379
_cell_angle_alpha 90.00
_cell_angle_beta 90.00
_cell_angle_gamma 90.00
_symmetry_space_group_name_H-M 'F -4 3 m'
_symmetry_Int_Tables_number 216
_symmetry_space_group_name_Hall 'F -4 2 3'
loop_
_atom_site_label
_atom_site_fract_x
_atom_site_fract_y
_atom_site_fract_z
Pu1 0.000 0.000 0.000
Mn1 0.000 0.000 0.500
Ni1 0.250 0.250 0.250
Ru1 0.250 0.250 0.750
```

Values from the calculation:
E_form = 0.0640 eV per atom

Crystalline PuScMnNi at its relaxed geometry. Source: Alexandria, functional PBE-GGA.

```
data_PuScMnNi
_chemical_formula_sum 'Pu4 Sc4 Mn4 Ni4'
_cell_length_a 6.509
_cell_length_b 6.509
_cell_length_c 6.509
_cell_angle_alpha 90.00
_cell_angle_beta 90.00
_cell_angle_gamma 90.00
_symmetry_space_group_name_H-M 'F -4 3 m'
_symmetry_Int_Tables_number 216
_symmetry_space_group_name_Hall 'F -4 2 3'
loop_
_atom_site_label
_atom_site_fract_x
_atom_site_fract_y
_atom_site_fract_z
Pu1 0.000 0.000 0.000
Sc1 0.000 0.000 0.500
Mn1 0.250 0.250 0.750
Ni1 0.250 0.250 0.250
```

Values from the calculation:
E_form = -0.0688 eV per atom

Crystalline Pu2MnSi6Ni at its relaxed geometry. Source: Alexandria, functional PBE-GGA.

```
data_Pu2MnSi6Ni
_chemical_formula_sum 'Pu12 Mn6 Si36 Ni6'
_cell_length_a 5.7655
_cell_length_b 5.7655
_cell_length_c 34.8886
_cell_angle_alpha 90.00
_cell_angle_beta 90.00
_cell_angle_gamma 120.00
_symmetry_space_group_name_H-M 'R -3 m'
_symmetry_Int_Tables_number 166
_symmetry_space_group_name_Hall '-R 3 2"'
loop_
_atom_site_label
_atom_site_fract_x
_atom_site_fract_y
_atom_site_fract_z
Pu1 0.0000 0.0000 0.1277
Pu2 0.0000 0.0000 0.2842
Mn1 0.0000 0.0000 0.4228
Si1 0.0519 0.5259 0.7194
Si2 0.0568 0.5284 0.8728
Ni1 0.0000 0.0000 0.0000
Ni2 0.0000 0.0000 0.5000
```

Values from the calculation:
Formation energy (no corrections) = -359 meV/atom

Values of total moment, in order: 9.386, 34.223, 13.101, 57.133, all in μB/cell.
Values of total energy, in order: -8.76, -9.58, -8.97, -7.97, all in eV per atom.